V2MoO PBE+U optimized geometry; crystal system = tetragonal; magnetization = 0.450 μB/atom; energy = -6.484 eV/atom
1.0
-4.5941 0.2929 4.7050
2.4637 -5.4519 2.7450
0.8154 -0.8590 5.4541
V Mo O
4 2 2
Direct
0.8750 0.7495 0.7500
0.3750 0.5005 0.7500
0.2505 0.6250 0.2500
0.4995 0.1250 0.2500
0.7500 0.2500 0.5000
0.0000 0.0000 0.0000
0.2500 0.7500 0.5000
0.5000 0.5000 0.0000